Entry 1:
Computed, not measured: a relaxed structure of TaBAsSe2 at the PBE-GGA level of DFT.

Calculated values
Polymorph energy (0 for the lowest one) = 106 meV per atom
Formation energy without anion corrections = 21.2 kcal/mol of atoms
V = 126 Å³/f.u.

a = 4.993 Å, b = 4.993 Å, c = 5.066 Å
α = 90.00°, β = 90.00°, γ = 90.00°
Atoms (fractional coordinates):
B: 0.500 0.500 0.500
Ta: 0.000 0.000 0.000
Se: 0.500 0.000 0.000
Se: 0.000 0.500 0.000
As: 0.000 0.000 0.500



Entry 2:
Computed, not measured: a relaxed structure of TaBAsSe2 at the PBE-GGA level of DFT.

Calculated values
Polymorph energy (0 for the lowest one) = 0 meV per atom
Formation energy without anion corrections = 18.8 kcal/mol of atoms
V = 84 Å³/f.u.

a = 4.407 Å, b = 4.407 Å, c = 4.325 Å
α = 90.00°, β = 90.00°, γ = 90.00°
Atoms (fractional coordinates):
B: 0.000 0.000 0.000
Se: 0.500 0.000 0.000
Se: 0.000 0.500 0.000
As: 0.000 0.000 0.500
Ta: 0.500 0.500 0.500



Entry 3:
Computed, not measured: a relaxed structure of TcBAs2Se at the PBE-GGA level of DFT.

Calculated values
Polymorph energy (0 for the lowest one) = 289 meV per atom
Formation energy without anion corrections = 29.8 kcal/mol of atoms
V = 115 Å³/f.u.

a = 4.702 Å, b = 4.702 Å, c = 5.198 Å
α = 90.00°, β = 90.00°, γ = 90.00°
Atoms (fractional coordinates):
Tc: 0.000 0.000 0.000
Se: 0.000 0.000 0.500
As: 0.000 0.500 0.000
As: 0.500 0.000 0.000
B: 0.500 0.500 0.500



Entry 4:
Computed, not measured: a relaxed structure of TcBAs2Se at the PBE-GGA level of DFT.

Calculated values
Polymorph energy (0 for the lowest one) = 0 meV per atom
Formation energy without anion corrections = 23.2 kcal/mol of atoms
V = 82 Å³/f.u.

a = 4.278 Å, b = 4.278 Å, c = 4.455 Å
α = 90.00°, β = 90.00°, γ = 90.00°
Site moments in Bohr magnetons follow the coordinates.
Atoms (fractional coordinates):
B: 0.000 0.000 0.000  -0.04
Tc: 0.500 0.500 0.500  1.73
As: 0.000 0.500 0.000  -0.06
As: 0.500 0.000 0.000  -0.06
Se: 0.000 0.000 0.500  -0.04



Entry 5:
Computed, not measured: a relaxed structure of BTeAsSe2 at the PBE-GGA level of DFT.

Calculated values
Polymorph energy (0 for the lowest one) = 0 meV per atom
Formation energy without anion corrections = 15.0 kcal/mol of atoms
V = 95 Å³/f.u.

a = 4.536 Å, b = 4.536 Å, c = 4.618 Å
α = 90.00°, β = 90.00°, γ = 90.00°
Atoms (fractional coordinates):
Se: 0.000 0.500 0.000
Se: 0.500 0.000 0.000
As: 0.000 0.000 0.500
Te: 0.500 0.500 0.500
B: 0.000 0.000 0.000



Entry 6:
Computed, not measured: a relaxed structure of BTeAsSe2 at the PBE-GGA level of DFT.

Calculated values
Polymorph energy (0 for the lowest one) = 932 meV per atom
Formation energy without anion corrections = 36.5 kcal/mol of atoms
V = 155 Å³/f.u.

a = 5.386 Å, b = 5.386 Å, c = 5.357 Å
α = 90.00°, β = 90.00°, γ = 90.00°
Site moments in Bohr magnetons follow the coordinates.
Atoms (fractional coordinates):
Se: 0.500 0.000 0.000  0.08
Se: 0.000 0.500 0.000  0.08
B: 0.500 0.500 0.500  -0.01
Te: 0.000 0.000 0.000  -0.01
As: 0.000 0.000 0.500  0.34



Entry 7:
Computed, not measured: a relaxed structure of BTeAs2Se at the PBE-GGA level of DFT.

Calculated values
Polymorph energy (0 for the lowest one) = 1084 meV per atom
Formation energy without anion corrections = 40.7 kcal/mol of atoms
V = 155 Å³/f.u.

a = 5.359 Å, b = 5.359 Å, c = 5.385 Å
α = 90.00°, β = 90.00°, γ = 90.00°
Site moments in Bohr magnetons follow the coordinates.
Atoms (fractional coordinates):
Se: 0.000 0.000 0.500  0.07
B: 0.500 0.500 0.500  -0.02
As: 0.500 0.000 0.000  0.22
As: 0.000 0.500 0.000  0.22
Te: 0.000 0.000 0.000  0.00



Entry 8:
Computed, not measured: a relaxed structure of BTeAs2Se at the PBE-GGA level of DFT.

Calculated values
Polymorph energy (0 for the lowest one) = 0 meV per atom
Formation energy without anion corrections = 15.7 kcal/mol of atoms
V = 94 Å³/f.u.

a = 4.597 Å, b = 4.597 Å, c = 4.435 Å
α = 90.00°, β = 90.00°, γ = 90.00°
Atoms (fractional coordinates):
Te: 0.500 0.500 0.500
Se: 0.000 0.000 0.500
B: 0.000 0.000 0.000
As: 0.500 0.000 0.000
As: 0.000 0.500 0.000



Entry 9:
Computed, not measured: a relaxed structure of Th4BAsSe2 at the PBE-GGA level of DFT.

Calculated values
Formation energy without anion corrections = -28.2 kcal/mol of atoms
V = 207 Å³/f.u.

a = 4.119 Å, b = 7.270 Å, c = 7.301 Å
α = 108.78°, β = 90.00°, γ = 90.00°
Atoms (fractional coordinates):
B: 0.500 0.500 0.000
Se: 0.500 0.000 0.500
Se: 0.000 0.500 0.500
Th: 0.500 0.734 0.773
Th: 0.000 0.718 0.215
Th: 0.000 0.282 0.785
Th: 0.500 0.266 0.227
As: 0.000 0.000 0.000



Entry 10:
Computed, not measured: a relaxed structure of TiBAsSe2 at the PBE-GGA level of DFT.

Calculated values
Polymorph energy (0 for the lowest one) = 0 meV per atom
Formation energy without anion corrections = 11.6 kcal/mol of atoms
V = 87 Å³/f.u.

a = 4.492 Å, b = 4.492 Å, c = 4.290 Å
α = 90.00°, β = 90.00°, γ = 90.00°
Atoms (fractional coordinates):
Se: 0.500 0.000 0.000
Se: 0.000 0.500 0.000
B: 0.000 0.000 0.000
Ti: 0.500 0.500 0.500
As: 0.000 0.000 0.500



Entry 11:
Computed, not measured: a relaxed structure of TiBAsSe2 at the PBE-GGA level of DFT.

Calculated values
Polymorph energy (0 for the lowest one) = 232 meV per atom
Formation energy without anion corrections = 17.0 kcal/mol of atoms
V = 119 Å³/f.u.

a = 4.902 Å, b = 4.902 Å, c = 4.937 Å
α = 90.00°, β = 90.00°, γ = 90.00°
Atoms (fractional coordinates):
As: 0.000 0.000 0.500
Ti: 0.000 0.000 0.000
Se: 0.500 0.000 0.000
Se: 0.000 0.500 0.000
B: 0.500 0.500 0.500



Entry 12:
Computed, not measured: a relaxed structure of TlBAsSe2 at the PBE-GGA level of DFT.

Calculated values
Polymorph energy (0 for the lowest one) = 0 meV per atom
Formation energy without anion corrections = 12.3 kcal/mol of atoms
V = 103 Å³/f.u.

a = 4.952 Å, b = 4.952 Å, c = 4.202 Å
α = 90.00°, β = 90.00°, γ = 90.00°
Atoms (fractional coordinates):
Tl: 0.500 0.500 0.500
B: 0.000 0.000 0.000
As: 0.000 0.000 0.500
Se: 0.000 0.500 0.000
Se: 0.500 0.000 0.000



> The highest formation energy without anion corrections belongs to which entry?

number 7



Please write out number 7 again, unchanged.
Computed, not measured: a relaxed structure of BTeAs2Se at the PBE-GGA level of DFT.

Calculated values
Polymorph energy (0 for the lowest one) = 1084 meV per atom
Formation energy without anion corrections = 40.7 kcal/mol of atoms
V = 155 Å³/f.u.

a = 5.359 Å, b = 5.359 Å, c = 5.385 Å
α = 90.00°, β = 90.00°, γ = 90.00°
Site moments in Bohr magnetons follow the coordinates.
Atoms (fractional coordinates):
Se: 0.000 0.000 0.500  0.07
B: 0.500 0.500 0.500  -0.02
As: 0.500 0.000 0.000  0.22
As: 0.000 0.500 0.000  0.22
Te: 0.000 0.000 0.000  0.00



> What is the V in the first record?

126 Å³/f.u.



> The lowest formation energy without anion corrections belongs to which entry?

Th4BAsSe2